Here is a geometry-optimized SmCrF5 structure from the Alexandria database. Energies are from GGA+U.

The space group is C2/c (No. 15) and the conventional cell measures 9.165, 7.315 and 7.566 Å, with angles of 90.00, 113.25 and 90.00 degrees. Symmetry generates all atoms from Sm at (0.000, 0.056, 0.250), Cr at (0.000, 0.500, 0.000), F at (0.000, 0.381, 0.250), F at (0.011, 0.174, 0.964) and F at (0.235, 0.467, 0.625).

The total DFT energy (no corrections) is -6.514 eV per atom. The value obtained for the density of states at the Fermi level is 0.000 states/eV per atom. The value obtained for the total magnetic moment is 16.00 μB/cell.